Pr4PdPt2: relaxed, PBE-GGA.

a = 8.1125 Å, b = 8.1131 Å, c = 8.1155 Å
α = 109.90°, β = 109.81°, γ = 108.73°
Closest atoms and distances in Å follow each position.
Atoms (fractional coordinates):
Pr 0.3243 0.1312 0.8068  3 Pt 2.89-2.99, 1 Pd 2.95
Pr 0.9256 0.6188 0.6931  3 Pt 2.89-2.99, 1 Pd 2.95
Pr 0.9258 0.2326 0.3070  3 Pt 2.89-2.99, 1 Pd 2.95
Pr 0.4825 0.6757 0.8069  3 Pt 2.89-2.98, 1 Pd 2.95
Pd 0.2498 0.7497 0.5000  4 Pr 2.95
Pt 0.1250 0.3751 0.7501  6 Pr 2.89-2.99
Pr 0.8688 0.6756 0.1932  3 Pt 2.89-2.98, 1 Pd 2.95
Pt 0.6250 0.8750 0.2500  6 Pr 2.89-2.98
Pt 0.6250 0.3750 0.7500  6 Pr 2.89-2.98
Pd 0.0002 0.0004 0.0000  4 Pr 2.95
Pt 0.6250 0.3749 0.2499  6 Pr 2.89-2.99
Pr 0.3243 0.5174 0.1931  3 Pt 2.89-2.99, 1 Pd 2.95
Pr 0.3812 0.0744 0.3068  3 Pt 2.89-2.98, 1 Pd 2.95
Pr 0.7675 0.0743 0.6931  3 Pt 2.89-2.98, 1 Pd 2.95

## Properties
ΔE_f: -771 meV per atom
total energy: -5.970 eV/atom
magnetic moment: 0.000 μB per formula unit

***

ZnRh4: relaxed, PBE-GGA.

a = 4.4801 Å, b = 4.4801 Å, c = 4.4801 Å
α = 90.00°, β = 90.00°, γ = 90.00°
Closest atoms and distances in Å follow each position.
Atoms (fractional coordinates):
Rh 0.0000 0.5000 0.5000  2 Zn 2.24
Rh 0.5000 0.5000 0.0000  2 Zn 2.24
Rh 0.5000 0.0000 0.5000  2 Zn 2.24
Rh 0.0000 0.0000 0.0000  12 Rh 3.17
Zn 0.5000 0.5000 0.5000  6 Rh 2.24

## Properties
ΔE_f: 1241 meV per atom
total energy: -4.895 eV/atom
magnetic moment: 4.096 μB per formula unit

***

LiYThCu: relaxed, PBE-GGA.

a = 5.0933 Å, b = 5.0933 Å, c = 5.0933 Å
α = 60.00°, β = 60.00°, γ = 60.00°
Closest atoms and distances in Å follow each position.
Atoms (fractional coordinates):
Li 0.5000 0.5000 0.5000  4 Y 3.12, 4 Th 3.12
Cu 0.0000 0.0000 0.0000  4 Th 3.12, 4 Y 3.12
Y 0.7500 0.7500 0.7500  4 Cu 3.12, 4 Li 3.12
Th 0.2500 0.2500 0.2500  4 Li 3.12, 4 Cu 3.12

## Properties
ΔE_f: 84 meV per atom
total energy: -4.890 eV/atom
magnetic moment: 0.858 μB per formula unit

***

NaMn3I9: relaxed, PBE-GGA.

a = 10.1804 Å, b = 11.3402 Å, c = 12.7653 Å
α = 81.73°, β = 66.50°, γ = 63.33°
Closest atoms and distances in Å follow each position.
Atoms (fractional coordinates):
Mn 0.9843 0.0343 0.1615  4 I 2.58-2.70
I 0.3143 0.2145 0.3154  1 Mn 2.56
Mn 0.2118 0.4638 0.3420  4 I 2.56-2.67
I 0.4380 0.2352 0.6131  1 Mn 2.62
I 0.7138 0.7352 0.1131  1 Mn 2.62
I 0.1559 0.7145 0.8154  1 Mn 2.56
I 0.5849 0.7506 0.6501  1 Mn 2.58
I 0.2856 0.8517 0.0684  2 Mn 2.69-2.73
Mn 0.9824 0.9638 0.8420  4 I 2.56-2.67
Mn 0.8199 0.5343 0.6615  4 I 2.58-2.70
I 0.4790 0.4932 0.2539  2 Mn 2.65-2.74
I 0.7740 0.9932 0.7539  2 Mn 2.65-2.74
I 0.8583 0.4423 0.8497  1 Mn 2.58
I 0.1945 0.0519 0.7621  1 Mn 2.57
I 0.4187 0.3867 0.9194  1 Mn 2.61
I 0.7943 0.3517 0.5684  2 Mn 2.69-2.73
Mn 0.4261 0.7525 0.2241  4 I 2.61-2.74
Na 0.4896 0.9871 0.4737  5 I 3.18-3.34
I 0.8497 0.9423 0.3497  1 Mn 2.58
Mn 0.5974 0.2525 0.7241  4 I 2.61-2.74
I 0.0680 0.5937 0.5444  2 Mn 2.67-2.70
I 0.2752 0.8867 0.4194  1 Mn 2.61
I 0.9915 0.5519 0.2621  1 Mn 2.57
I 0.7939 0.0937 0.0444  2 Mn 2.67-2.70
I 0.0143 0.2506 0.1501  1 Mn 2.58
Na 0.0496 0.4871 0.9737  5 I 3.18-3.34

## Properties
formation energy without anion corrections: -534 kJ/mol of formula units
total energy: -3.716 eV/atom
magnetic moment: 13.000 μB per formula unit